# 1
# HoIn2Rh3 PBE-GGA relaxed
data_HoIn2Rh3
_cell_length_a 4.650
_cell_length_b 4.650
_cell_length_c 11.378
_cell_angle_alpha 90.00
_cell_angle_beta 90.00
_cell_angle_gamma 120.00
_space_group_name_H-M_alt 'P 1'
_space_group_IT_number 1
loop_
_space_group_symop_operation_xyz
'x,y,z'
loop_
_atom_site_label
_atom_site_type_symbol
_atom_site_fract_x
_atom_site_fract_y
_atom_site_fract_z
Ho1 Ho 0.333 0.667 0.169
Ho2 Ho 0.667 0.333 0.831
In1 In 0.000 0.000 0.000
In2 In 0.000 0.000 0.500
In3 In 0.333 0.667 0.667
In4 In 0.667 0.333 0.333
Rh1 Rh 0.000 0.000 0.258
Rh2 Rh 0.000 0.000 0.742
Rh3 Rh 0.333 0.667 0.422
Rh4 Rh 0.333 0.667 0.916
Rh5 Rh 0.667 0.333 0.084
Rh6 Rh 0.667 0.333 0.578
# formation energy	-4.0	eV/f.u.
# raw total energy	-6.01	eV/atom

***

# 2
# Ho12In6Rh PBE-GGA relaxed
data_Ho12In6Rh
_cell_length_a 8.247
_cell_length_b 8.247
_cell_length_c 8.247
_cell_angle_alpha 93.77
_cell_angle_beta 93.77
_cell_angle_gamma 93.77
_space_group_name_H-M_alt 'P 1'
_space_group_IT_number 1
loop_
_space_group_symop_operation_xyz
'x,y,z'
loop_
_atom_site_label
_atom_site_type_symbol
_atom_site_fract_x
_atom_site_fract_y
_atom_site_fract_z
Ho1 Ho 0.047 0.930 0.705
Ho2 Ho 0.070 0.295 0.953
Ho3 Ho 0.183 0.402 0.524
Ho4 Ho 0.295 0.953 0.070
Ho5 Ho 0.402 0.524 0.183
Ho6 Ho 0.476 0.817 0.598
Ho7 Ho 0.524 0.183 0.402
Ho8 Ho 0.598 0.476 0.817
Ho9 Ho 0.705 0.047 0.930
Ho10 Ho 0.817 0.598 0.476
Ho11 Ho 0.930 0.705 0.047
Ho12 Ho 0.953 0.070 0.295
In1 In 0.156 0.768 0.367
In2 In 0.232 0.633 0.844
In3 In 0.367 0.156 0.768
In4 In 0.633 0.844 0.232
In5 In 0.768 0.367 0.156
In6 In 0.844 0.232 0.633
Rh1 Rh 0.500 0.500 0.500
# formation energy	-4.6	eV/f.u.
# raw total energy	-4.39	eV/atom

***

# 3
# Ho5InRh2 PBE-GGA relaxed
data_Ho5InRh2
_cell_length_a 8.677
_cell_length_b 8.677
_cell_length_c 8.677
_cell_angle_alpha 127.05
_cell_angle_beta 127.05
_cell_angle_gamma 78.17
_space_group_name_H-M_alt 'P 1'
_space_group_IT_number 1
loop_
_space_group_symop_operation_xyz
'x,y,z'
loop_
_atom_site_label
_atom_site_type_symbol
_atom_site_fract_x
_atom_site_fract_y
_atom_site_fract_z
Ho1 Ho 0.000 0.000 0.000
Ho2 Ho 0.025 0.525 0.819
Ho3 Ho 0.206 0.025 0.500
Ho4 Ho 0.294 0.794 0.819
Ho5 Ho 0.475 0.294 0.500
Ho6 Ho 0.500 0.500 0.000
Ho7 Ho 0.525 0.706 0.500
Ho8 Ho 0.706 0.206 0.181
Ho9 Ho 0.794 0.975 0.500
Ho10 Ho 0.975 0.475 0.181
In1 In 0.250 0.250 0.000
In2 In 0.750 0.750 0.000
Rh1 Rh 0.139 0.361 0.500
Rh2 Rh 0.361 0.861 0.221
Rh3 Rh 0.639 0.139 0.779
Rh4 Rh 0.861 0.639 0.500
# formation energy	-5.1	eV/f.u.
# raw total energy	-5.68	eV/atom